Record 1
The following is a DFT calculation (PBE) of an optimized crystal structure of BaTiH2O.

Summary:
The calculation puts the calculated volume at 67 Å³/cell. The value obtained for the total energy is -5.53 eV/atom. The calculation puts the total magnetization at 1.634 μB per formula unit.

Geometry as CIF:
```
data_BaTiH2O
_space_group_name_H-M_alt 'P 1'
_space_group_IT_number 1
_space_group_name_Hall 'P 1'
_cell_length_a 4.0515
_cell_length_b 4.0515
_cell_length_c 4.0928
_cell_angle_alpha 90.00
_cell_angle_beta 90.00
_cell_angle_gamma 90.00
loop_
_atom_site_label
_atom_site_type_symbol
_atom_site_fract_x
_atom_site_fract_y
_atom_site_fract_z
Ba1 Ba 0.0000 0.0000 0.0000
Ti1 Ti 0.5000 0.5000 0.5000
H1 H 0.0000 0.5000 0.5000
H2 H 0.5000 0.0000 0.5000
O1 O 0.5000 0.5000 0.0000
```

Record 2
The following is a DFT calculation (PBE) of an optimized crystal structure of BaTiHO2.

Summary:
The calculation puts the calculated volume at 66 Å³/cell. The value obtained for the total energy is -6.80 eV/atom. The calculation puts the total magnetization at 0.867 μB per formula unit.

Geometry as CIF:
```
data_BaTiHO2
_space_group_name_H-M_alt 'P 1'
_space_group_IT_number 1
_space_group_name_Hall 'P 1'
_cell_length_a 4.0637
_cell_length_b 4.0637
_cell_length_c 4.0096
_cell_angle_alpha 90.00
_cell_angle_beta 90.00
_cell_angle_gamma 90.00
loop_
_atom_site_label
_atom_site_type_symbol
_atom_site_fract_x
_atom_site_fract_y
_atom_site_fract_z
Ba1 Ba 0.0000 0.0000 0.0000
Ti1 Ti 0.5000 0.5000 0.5000
H1 H 0.5000 0.5000 0.0000
O1 O 0.0000 0.5000 0.5000
O2 O 0.5000 0.0000 0.5000
```

Record 3
The following is a DFT calculation (PBE) of an optimized crystal structure of Ba2UHO6.

Summary:
The calculation puts the calculated volume at 147 Å³/cell. The value obtained for the total energy is -6.99 eV/atom. The calculation puts the total magnetization at 1.054 μB per formula unit.

Geometry as CIF:
```
data_Ba2UHO6
_space_group_name_H-M_alt 'P 1'
_space_group_IT_number 1
_space_group_name_Hall 'P 1'
_cell_length_a 5.9205
_cell_length_b 5.9205
_cell_length_c 5.9205
_cell_angle_alpha 60.00
_cell_angle_beta 60.00
_cell_angle_gamma 60.00
loop_
_atom_site_label
_atom_site_type_symbol
_atom_site_fract_x
_atom_site_fract_y
_atom_site_fract_z
Ba1 Ba 0.2500 0.2500 0.2500
Ba2 Ba 0.7500 0.7500 0.7500
U1 U 0.0000 0.0000 0.0000
H1 H 0.5000 0.5000 0.5000
O1 O 0.2454 0.2454 0.7546
O2 O 0.2454 0.7546 0.2454
O3 O 0.2454 0.7546 0.7546
O4 O 0.7546 0.2454 0.2454
O5 O 0.7546 0.2454 0.7546
O6 O 0.7546 0.7546 0.2454
```

Which value of total magnetization does entry 2 give? 0.867 μB per formula unit

calculated volume of number 2 (BaTiHO2)? 66 Å³/cell

Which formula does entry 3 have? Ba2UHO6

Among the records above, which one has the lowest calculated volume? BaTiHO2